--- w ---
Computed, not measured: a geometry-optimized ZnFeMo3 structure at the PBE level of DFT.

* magnetization: 0.000 μB per atom
* space-group type: No. 221

Structure (POSCAR):
```
ZnFeMo3
1.0
4.489 0.000 0.000
0.000 4.489 0.000
0.000 0.000 4.489
Zn Fe Mo
1 1 3
Direct
0.000 0.000 0.000
0.500 0.500 0.500
0.000 0.000 0.500
0.000 0.500 0.000
0.500 0.000 0.000
```

--- x ---
Computed, not measured: a geometry-optimized ZnFeMo3 structure at the PBE level of DFT.

* magnetization: 0.000 μB per atom
* space-group type: No. 221

Structure (POSCAR):
```
ZnFeMo3
1.0
4.454 0.000 0.000
0.000 4.454 0.000
0.000 0.000 4.454
Zn Fe Mo
1 1 3
Direct
0.000 0.000 0.000
0.500 0.500 0.500
0.000 0.500 0.500
0.500 0.000 0.500
0.500 0.500 0.000
```

x wins, 0.929 eV/atom ahead of the next structure.